--- w ---
Here is an optimized crystal structure of ZrSbOF2 from the Alexandria database. Energies are from PBE-GGA.

Unit cell a=4.4832 b=4.4832 c=4.0900 alpha=90.00 beta=90.00 gamma=90.00
Atoms (fractional coordinates):
Zr  0.0000  0.0000  0.0000
Sb  0.5000  0.5000  0.5000
O  0.0000  0.0000  0.5000
F  0.0000  0.5000  0.0000
F  0.5000  0.0000  0.0000

--- x ---
Here is an optimized crystal structure of ZrSbOF2 from the Alexandria database. Energies are from PBE-GGA.

Unit cell a=4.5243 b=4.5243 c=4.3672 alpha=90.00 beta=90.00 gamma=90.00
Atoms (fractional coordinates):
F  0.5000  0.0000  0.0000
Sb  0.0000  0.0000  0.0000
Zr  0.5000  0.5000  0.5000
O  0.0000  0.0000  0.5000
F  0.0000  0.5000  0.0000

Question: of the structures shown, which is the least stable? Reply: x.